Entry 1:
This record from Alexandria describes SmPaSe2 after structural relaxation. The functional is PBE-GGA. Values from VASP.

Geometry as Quantum ESPRESSO input:
```
&SYSTEM
  ibrav = 0, nat = 8, ntyp = 3
/
ATOMIC_SPECIES
Sm 150.36 Sm.upf
Pa 231.04 Pa.upf
Se 78.96 Se.upf
ATOMIC_POSITIONS angstrom
Sm 0.000 2.294 3.632
Sm 1.987 1.147 10.895
Pa 0.000 0.000 0.000
Pa 0.000 0.000 7.263
Se 0.000 2.294 9.053
Se 0.000 2.294 12.736
Se 1.987 1.147 1.790
Se 1.987 1.147 5.473
CELL_PARAMETERS angstrom
3.973 0.000 0.000
-1.987 3.441 0.000
0.000 0.000 14.526
```

Results
DOS(E_F), states/eV/cell: 10.76
Size of the total moment, μB/cell: 1.9
E_form (uncorrected), eV/f.u.: -5.819

---

Entry 2:
This record from Alexandria describes Sm2Pa2Se7 after structural relaxation. The functional is PBE-GGA. Values from VASP.

Geometry as Quantum ESPRESSO input:
```
&SYSTEM
  ibrav = 0, nat = 11, ntyp = 3
/
ATOMIC_SPECIES
Sm 150.36 Sm.upf
Pa 231.04 Pa.upf
Se 78.96 Se.upf
ATOMIC_POSITIONS angstrom
Sm 0.000 3.569 0.000
Sm 0.000 11.384 0.000
Pa 2.044 0.000 2.784
Pa 0.000 0.000 6.854
Se 2.044 -2.705 1.834
Se 0.000 0.000 0.692
Se 2.044 5.874 -0.160
Se 2.044 2.705 1.834
Se 0.000 1.602 4.372
Se 0.000 5.476 2.784
Se 0.000 9.476 2.784
CELL_PARAMETERS angstrom
-2.044 7.476 4.532
2.044 -7.476 4.532
2.044 7.476 -4.532
```

Results
DOS(E_F), states/eV/cell: 6.75
Size of the total moment, μB/cell: 1.9
E_form (uncorrected), eV/f.u.: -17.514

---

Entry 3:
This record from Alexandria describes Sm2Pa2Se5 after structural relaxation. The functional is PBE-GGA. Values from VASP.

Geometry as Quantum ESPRESSO input:
```
&SYSTEM
  ibrav = 0, nat = 9, ntyp = 3
/
ATOMIC_SPECIES
Sm 150.36 Sm.upf
Pa 231.04 Pa.upf
Se 78.96 Se.upf
ATOMIC_POSITIONS angstrom
Sm 0.000 2.377 1.728
Sm 2.059 1.189 17.592
Pa 0.000 2.377 13.087
Pa 2.059 1.189 6.234
Se 0.000 0.000 0.000
Se 0.000 2.377 7.782
Se 0.000 2.377 15.918
Se 2.059 1.189 3.402
Se 2.059 1.189 11.539
CELL_PARAMETERS angstrom
4.117 0.000 0.000
-2.059 3.566 0.000
0.000 0.000 19.321
```

Results
DOS(E_F), states/eV/cell: 10.48
Size of the total moment, μB/cell: 4.6
E_form (uncorrected), eV/f.u.: -11.170

---

Entry 4:
This record from Alexandria describes Sm2PaSe6 after structural relaxation. The functional is PBE-GGA. Values from VASP.

Geometry as Quantum ESPRESSO input:
```
&SYSTEM
  ibrav = 0, nat = 18, ntyp = 3
/
ATOMIC_SPECIES
Sm 150.36 Sm.upf
Pa 231.04 Pa.upf
Se 78.96 Se.upf
ATOMIC_POSITIONS angstrom
Sm 0.000 0.000 2.149
Sm 0.000 0.000 10.706
Sm 3.383 3.383 4.279
Sm 3.383 3.383 8.577
Pa 0.000 0.000 6.428
Pa 3.383 3.383 0.000
Se 1.321 1.321 4.391
Se 1.321 1.321 8.464
Se 1.412 1.412 0.000
Se 1.971 4.795 6.428
Se 2.062 4.704 2.037
Se 2.062 4.704 10.819
Se 4.704 2.062 2.037
Se 4.704 2.062 10.819
Se 4.795 1.971 6.428
Se 5.354 5.354 0.000
Se 5.445 5.445 4.391
Se 5.445 5.445 8.464
CELL_PARAMETERS angstrom
6.766 0.000 0.000
0.000 6.766 0.000
0.000 0.000 12.855
```

Results
DOS(E_F), states/eV/cell: 10.26
Size of the total moment, μB/cell: 0.0
E_form (uncorrected), eV/f.u.: -12.738

---

Entry 5:
This record from Alexandria describes SmPaSe2 after structural relaxation. The functional is PBE-GGA. Values from VASP.

Geometry as Quantum ESPRESSO input:
```
&SYSTEM
  ibrav = 0, nat = 8, ntyp = 3
/
ATOMIC_SPECIES
Sm 150.36 Sm.upf
Pa 231.04 Pa.upf
Se 78.96 Se.upf
ATOMIC_POSITIONS angstrom
Sm 0.000 0.000 0.000
Sm 3.963 0.000 0.000
Pa 0.000 1.895 3.330
Pa 3.963 1.895 3.330
Se 1.982 0.000 2.258
Se 1.982 1.895 5.495
Se 5.945 0.000 4.402
Se 5.945 1.895 1.165
CELL_PARAMETERS angstrom
7.927 0.000 0.000
0.000 3.790 0.000
0.000 0.000 6.660
```

Results
DOS(E_F), states/eV/cell: 11.83
Size of the total moment, μB/cell: 2.0
E_form (uncorrected), eV/f.u.: -5.431

---

Entry 6:
This record from Alexandria describes SmPa2Se6 after structural relaxation. The functional is PBE-GGA. Values from VASP.

Geometry as Quantum ESPRESSO input:
```
&SYSTEM
  ibrav = 0, nat = 9, ntyp = 3
/
ATOMIC_SPECIES
Sm 150.36 Sm.upf
Pa 231.04 Pa.upf
Se 78.96 Se.upf
ATOMIC_POSITIONS angstrom
Sm 0.000 0.000 0.000
Pa 4.783 0.000 5.546
Pa 11.467 0.000 2.703
Se 2.829 0.000 0.877
Se 2.068 0.000 4.613
Se 7.440 0.000 6.237
Se 8.810 0.000 2.012
Se 14.181 0.000 3.636
Se 13.421 0.000 7.372
CELL_PARAMETERS angstrom
9.085 -2.107 0.000
9.085 2.107 0.000
-1.920 0.000 8.249
```

Results
DOS(E_F), states/eV/cell: 7.93
Size of the total moment, μB/cell: 1.1
E_form (uncorrected), eV/f.u.: -13.254

---

Entry 7:
This record from Alexandria describes SmPa3Se4 after structural relaxation. The functional is PBE-GGA. Values from VASP.

Geometry as Quantum ESPRESSO input:
```
&SYSTEM
  ibrav = 0, nat = 8, ntyp = 3
/
ATOMIC_SPECIES
Sm 150.36 Sm.upf
Pa 231.04 Pa.upf
Se 78.96 Se.upf
ATOMIC_POSITIONS angstrom
Sm 0.000 0.000 0.000
Pa 2.130 2.894 1.959
Pa 2.130 -2.894 1.959
Pa 4.260 0.000 0.000
Se 4.260 2.895 0.000
Se 2.136 0.000 1.959
Se 6.384 0.000 1.959
Se 4.260 -2.895 0.000
CELL_PARAMETERS angstrom
4.260 -5.787 0.000
4.260 5.787 0.000
0.000 0.000 3.918
```

Results
DOS(E_F), states/eV/cell: 12.52
Size of the total moment, μB/cell: 1.1
E_form (uncorrected), eV/f.u.: -10.729

---

Entry 8:
This record from Alexandria describes Sm6PaSe12 after structural relaxation. The functional is PBE-GGA. Values from VASP.

Geometry as Quantum ESPRESSO input:
```
&SYSTEM
  ibrav = 0, nat = 19, ntyp = 3
/
ATOMIC_SPECIES
Sm 150.36 Sm.upf
Pa 231.04 Pa.upf
Se 78.96 Se.upf
ATOMIC_POSITIONS angstrom
Sm -3.207 -3.105 6.329
Sm -4.292 1.225 5.675
Sm 1.085 -4.330 5.675
Sm -1.085 4.330 6.329
Sm 4.292 -1.225 6.329
Sm 3.207 3.105 5.675
Pa 0.000 0.000 6.002
Se -1.608 -5.348 5.254
Se -5.436 -1.282 6.750
Se -2.273 -0.560 4.549
Se -3.828 4.067 5.254
Se 1.621 -1.688 4.549
Se -0.652 -2.248 7.455
Se 0.652 2.248 4.549
Se -1.621 1.688 7.455
Se 3.828 -4.067 6.750
Se 2.273 0.560 7.455
Se 5.436 1.282 5.254
Se 1.608 5.348 6.750
CELL_PARAMETERS angstrom
6.366 3.676 4.001
-6.366 3.676 4.001
0.000 -7.351 4.001
```

Results
DOS(E_F), states/eV/cell: 13.90
Size of the total moment, μB/cell: 0.0
E_form (uncorrected), eV/f.u.: -31.985

---

Entry 9:
This record from Alexandria describes SmPaSe2 after structural relaxation. The functional is PBE-GGA. Values from VASP.

Geometry as Quantum ESPRESSO input:
```
&SYSTEM
  ibrav = 0, nat = 4, ntyp = 3
/
ATOMIC_SPECIES
Sm 150.36 Sm.upf
Pa 231.04 Pa.upf
Se 78.96 Se.upf
ATOMIC_POSITIONS angstrom
Sm 0.000 0.000 0.000
Pa 0.000 0.000 18.919
Se 0.000 0.000 5.627
Se 0.000 0.000 9.468
CELL_PARAMETERS angstrom
1.950 1.126 7.619
-1.950 1.126 7.619
0.000 -2.251 7.619
```

Results
DOS(E_F), states/eV/cell: 5.91
Size of the total moment, μB/cell: 1.5
E_form (uncorrected), eV/f.u.: -5.660

---

Entry 10:
This record from Alexandria describes Sm2Pa2Se7 after structural relaxation. The functional is PBE-GGA. Values from VASP.

Geometry as Quantum ESPRESSO input:
```
&SYSTEM
  ibrav = 0, nat = 11, ntyp = 3
/
ATOMIC_SPECIES
Sm 150.36 Sm.upf
Pa 231.04 Pa.upf
Se 78.96 Se.upf
ATOMIC_POSITIONS angstrom
Sm 0.000 0.000 0.000
Sm 0.000 7.449 0.397
Pa 2.029 -3.567 2.842
Pa 2.029 3.567 2.842
Se 2.029 0.000 2.096
Se 0.000 2.743 1.008
Se 2.029 5.305 -0.018
Se 0.000 2.144 4.538
Se 0.000 5.761 2.943
Se 0.000 12.156 1.008
Se 0.000 9.137 2.943
CELL_PARAMETERS angstrom
-2.029 7.449 4.556
2.029 -7.449 4.556
2.029 7.449 -4.556
```

Results
DOS(E_F), states/eV/cell: 5.39
Size of the total moment, μB/cell: 1.6
E_form (uncorrected), eV/f.u.: -17.441

---

Entry 11:
This record from Alexandria describes TbSm2PaSe4 after structural relaxation. The functional is PBE-GGA. Values from VASP.

Geometry as Quantum ESPRESSO input:
```
&SYSTEM
  ibrav = 0, nat = 8, ntyp = 4
/
ATOMIC_SPECIES
Tb 158.93 Tb.upf
Sm 150.36 Sm.upf
Pa 231.04 Pa.upf
Se 78.96 Se.upf
ATOMIC_POSITIONS angstrom
Tb 0.000 0.000 0.000
Sm 2.406 0.000 3.391
Sm 3.576 2.047 0.000
Pa -1.170 2.047 3.391
Se 1.162 2.047 1.677
Se -0.003 0.000 5.081
Se 4.815 0.000 1.700
Se 3.651 2.047 5.104
CELL_PARAMETERS angstrom
7.152 0.000 0.000
0.000 4.095 0.000
-2.339 0.000 6.782
```

Results
DOS(E_F), states/eV/cell: 7.18
Size of the total moment, μB/cell: 0.6
E_form (uncorrected), eV/f.u.: -13.088

---

Look up the E_form (uncorrected) of the ninth one. -5.660 eV/f.u.